A geometry-optimized Th6TeSe5 structure. Source: the Alexandria database, functional PBE.

Structure (POSCAR):
```
Th6TeSe5
1.0
3.690 -6.400 0.000
3.690 6.400 0.000
-2.468 0.000 6.899
Th Te Se
6 1 5
Direct
0.062 0.410 0.736
0.230 0.230 0.248
0.410 0.062 0.736
0.590 0.938 0.264
0.770 0.770 0.752
0.938 0.590 0.264
0.500 0.500 0.000
0.000 0.000 0.500
0.171 0.829 0.000
0.345 0.655 0.500
0.655 0.345 0.500
0.829 0.171 0.000
```

Properties
final energy = -82.44 eV/cell


A geometry-optimized ThTeSe structure. Source: the Alexandria database, functional PBE.

Structure (POSCAR):
```
ThTeSe
1.0
4.648 0.000 0.000
0.000 4.648 0.000
0.000 0.000 8.101
Th Te Se
2 2 2
Direct
0.250 0.250 0.226
0.750 0.750 0.774
0.250 0.250 0.629
0.750 0.750 0.371
0.250 0.750 0.000
0.750 0.250 0.000
```

Properties
final energy = -36.93 eV/cell
distance to the lowest polymorph of the same formula = 0.00 eV/f.u.


A geometry-optimized Th3TeSe3 structure. Source: the Alexandria database, functional PBE.

Structure (POSCAR):
```
Th3TeSe3
1.0
4.518 2.609 5.897
-4.518 2.609 5.897
0.000 -5.217 5.897
Th Te Se
6 2 6
Direct
0.079 0.714 0.440
0.286 0.560 0.921
0.440 0.079 0.714
0.560 0.921 0.286
0.714 0.440 0.079
0.921 0.286 0.560
0.331 0.331 0.331
0.669 0.669 0.669
0.091 0.378 0.797
0.203 0.909 0.622
0.378 0.797 0.091
0.622 0.203 0.909
0.797 0.091 0.378
0.909 0.622 0.203
```

Properties
final energy = -91.64 eV/cell


A geometry-optimized Th4TeSe3 structure. Source: the Alexandria database, functional PBE.

Structure (POSCAR):
```
Th4TeSe3
1.0
4.303 -6.048 0.000
4.303 6.048 0.000
0.000 0.000 4.246
Th Te Se
4 1 3
Direct
0.232 0.232 0.500
0.241 0.759 0.000
0.759 0.241 0.000
0.768 0.768 0.500
0.500 0.500 0.000
0.000 0.000 0.000
0.000 0.500 0.500
0.500 0.000 0.500
```

Properties
final energy = -54.44 eV/cell


A geometry-optimized ThTeSe2 structure. Source: the Alexandria database, functional PBE.

Structure (POSCAR):
```
ThTeSe2
1.0
3.987 -2.533 0.000
3.987 2.533 0.000
-1.721 0.000 6.195
Th Te Se
1 1 2
Direct
0.000 0.000 0.000
0.080 0.080 0.557
0.383 0.383 0.157
0.626 0.626 0.754
```

Properties
final energy = -21.56 eV/cell


A geometry-optimized ThTeSe structure. Source: the Alexandria database, functional PBE.

Structure (POSCAR):
```
ThTeSe
1.0
0.000 3.646 3.646
3.646 0.000 3.646
3.646 3.646 0.000
Th Te Se
1 1 1
Direct
0.000 0.000 0.000
0.750 0.750 0.750
0.250 0.250 0.250
```

Properties
final energy = -18.16 eV/cell
distance to the lowest polymorph of the same formula = 0.30 eV/f.u.


A geometry-optimized ThTeSe structure. Source: the Alexandria database, functional PBE.

Structure (POSCAR):
```
ThTeSe
1.0
3.845 -2.224 0.000
3.845 2.224 0.000
-0.779 0.000 14.156
Th Te Se
2 2 2
Direct
0.000 0.000 0.000
0.578 0.578 0.469
0.257 0.257 0.598
0.654 0.654 0.871
0.344 0.344 0.100
0.901 0.901 0.369
```

Properties
final energy = -36.62 eV/cell
distance to the lowest polymorph of the same formula = 0.16 eV/f.u.


A geometry-optimized Th8TeSe6 structure. Source: the Alexandria database, functional PBE.

Structure (POSCAR):
```
Th8TeSe6
1.0
10.868 0.000 0.000
-5.434 9.412 0.000
0.000 0.000 4.176
Th Te Se
8 1 6
Direct
0.042 0.723 0.258
0.277 0.320 0.258
0.320 0.042 0.742
0.333 0.667 0.747
0.667 0.333 0.253
0.680 0.958 0.258
0.723 0.680 0.742
0.958 0.277 0.742
0.000 0.000 0.500
0.125 0.489 0.247
0.364 0.875 0.247
0.489 0.364 0.753
0.511 0.636 0.247
0.636 0.125 0.753
0.875 0.511 0.753
```

Properties
final energy = -99.90 eV/cell


| no. | total magnetic moment (μB per formula unit) |
| --- | --- |
| 1 | 0.0 |
| 2 | 0.0 |
| 3 | 0.0 |
| 4 | 0.0 |
| 5 | 0.0 |
| 6 | 0.0 |
| 7 | 0.0 |
| 8 | 0.0 |